Computed, not measured: a relaxed structure of Zn2GeBMo at the PBE level of DFT.

```
Zn2GeBMo
1.0
4.513 0.000 0.000
0.000 4.513 0.000
0.000 0.000 4.921
Zn Ge B Mo
2 1 1 1
Direct
0.000 0.500 0.000
0.500 0.000 0.000
0.000 0.000 0.000
0.500 0.500 0.500
0.000 0.000 0.500
```

Formation enthalpy at 0 K ... 1663 meV/atom
Uncorrected energy ... -3.27 eV per atom